Entry 1:
A plane-wave DFT calculation with PBE was carried out for a relaxed GaTc2Au crystal.

Its total energy is -6.50 eV/atom.

Lattice parameters (Å, degrees): 6.287 6.287 6.287 90.00 90.00 90.00
Space group F-43m (No. 216)
Asymmetric unit:
Ga 0.000 0.000 0.000 x4
Tc 0.000 0.000 0.500 x4
Tc 0.250 0.250 0.750 x4
Au 0.250 0.250 0.250 x4



Entry 2:
A plane-wave DFT calculation with PBE was carried out for a relaxed CuHgMoPb crystal.

Its total energy is -3.90 eV/atom. Its energy above the most stable polymorph in this dataset is 0 meV/atom.

Lattice parameters (Å, degrees): 6.751 6.751 6.751 90.00 90.00 90.00
Space group F-43m (No. 216)
Asymmetric unit:
Cu 0.000 0.000 0.000 x4
Hg 0.250 0.250 0.250 x4
Mo 0.000 0.000 0.500 x4
Pb 0.250 0.250 0.750 x4



Entry 3:
A plane-wave DFT calculation with PBE was carried out for a relaxed AcLaEr crystal.

Its total energy is -3.92 eV/atom. Its energy above the most stable polymorph in this dataset is 0 meV/atom. Its formation energy is 610 meV/atom.

Lattice parameters (Å, degrees): 8.075 8.075 8.075 90.00 90.00 90.00
Space group F-43m (No. 216)
Asymmetric unit:
Ac 0.000 0.000 0.000 x4
La 0.000 0.000 0.500 x4
Er 0.250 0.250 0.250 x4



| no. | magnetization (μB/f.u.) |
| --- | --- |
| 1 | 0.0 |
| 2 | 1.9 |
| 3 | 0.0 |